[1]
NaZrF2, optimized geometry, DFT GGA-PBE; energy above the most stable polymorph in this dataset = 3.929 eV per formula unit; SG = Fm-3m; formation energy from raw total energies = -1339 meV/atom
1.0
0.000 3.111 3.111
3.111 0.000 3.111
3.111 3.111 0.000
Na Zr F
1 1 2
direct
0.000 0.000 0.000
0.500 0.500 0.500
0.250 0.250 0.250
0.750 0.750 0.750

[2]
TmAl2Co, optimized geometry, DFT GGA-PBE; SG = Pnma; ΔH_f (0 K) = -0.56 eV/atom
1.0
14.476 0.000 0.000
0.000 7.032 0.000
0.000 0.000 5.390
Tm Al Co
8 16 8
direct
0.101 0.250 0.242
0.135 0.750 0.036
0.365 0.250 0.536
0.399 0.750 0.742
0.601 0.250 0.258
0.635 0.750 0.464
0.865 0.250 0.964
0.899 0.750 0.758
0.044 0.059 0.726
0.044 0.441 0.726
0.212 0.551 0.547
0.212 0.949 0.547
0.288 0.051 0.047
0.288 0.449 0.047
0.456 0.559 0.226
0.456 0.941 0.226
0.544 0.059 0.774
0.544 0.441 0.774
0.712 0.551 0.953
0.712 0.949 0.953
0.788 0.051 0.453
0.788 0.449 0.453
0.956 0.559 0.274
0.956 0.941 0.274
0.073 0.750 0.513
0.191 0.250 0.778
0.309 0.750 0.278
0.427 0.250 0.013
0.573 0.750 0.987
0.691 0.250 0.722
0.809 0.750 0.222
0.927 0.250 0.487

[3]
MnZnMo2C, optimized geometry, DFT GGA-PBE; SG = P4/mmm; ΔH_f (0 K) = 0.14 eV/atom
1.0
4.181 0.000 0.000
0.000 4.181 0.000
0.000 0.000 3.831
Mn Zn Mo C
1 1 2 1
direct
0.000 0.000 0.000
0.500 0.500 0.000
0.000 0.500 0.500
0.500 0.000 0.500
0.000 0.000 0.500

[4]
PtW2Br, optimized geometry, DFT GGA-PBE; energy above the most stable polymorph in this dataset = 2.813 eV per formula unit; SG = I-4m2; formation energy from raw total energies = 1109 meV/atom
1.0
-2.101 2.101 3.845
2.101 -2.101 3.845
2.101 2.101 -3.845
Pt W Br
1 2 1
direct
0.000 0.000 0.000
0.250 0.750 0.500
0.500 0.500 0.000
0.750 0.250 0.500

Final energy, respectively: -19.0, -170.3, -40.7, -29.2 eV/cell.